(1)
Compound: Hf2GeAs
Source: Alexandria via LeMat-Bulk
Functional: PBE
Structure: relaxed

Energy of formation from the pure elements (eV per atom): -0.02
Energy above the lowest structure with this stoichiometry (meV per atom): 765
Magnetization (μB/atom): 0.00

Structure (POSCAR):
```
Hf2GeAs
1.0
-3.0157 3.0157 6.0760
3.0157 -3.0157 6.0760
3.0157 3.0157 -6.0760
Hf Ge As
4 2 2
Direct
0.1224 0.6250 0.9974 Hf
0.3750 0.3724 0.4974 Hf
0.6276 0.1250 0.0026 Hf
0.8750 0.8776 0.5026 Hf
0.0000 0.0000 0.0000 Ge
0.7500 0.2500 0.5000 Ge
0.2500 0.7500 0.5000 As
0.5000 0.5000 0.0000 As
```

---

(2)
Compound: Hf2GeAs
Source: Alexandria via LeMat-Bulk
Functional: PBE
Structure: relaxed

Energy of formation from the pure elements (eV per atom): -0.73
Energy above the lowest structure with this stoichiometry (meV per atom): 52
Magnetization (μB/atom): 0.00

Structure (POSCAR):
```
Hf2GeAs
1.0
1.8919 1.0923 6.5437
-1.8919 1.0923 6.5437
0.0000 -2.1846 6.5437
Hf Ge As
2 1 1
Direct
0.0000 0.0000 0.0000 Hf
0.1754 0.1754 0.1754 Hf
0.5856 0.5856 0.5856 Ge
0.7546 0.7546 0.7546 As
```

---

(3)
Compound: Hf2GeAs
Source: Alexandria via LeMat-Bulk
Functional: PBE
Structure: relaxed

Energy of formation from the pure elements (eV per atom): -0.13
Energy above the lowest structure with this stoichiometry (meV per atom): 655
Magnetization (μB/atom): 0.07

Structure (POSCAR):
```
Hf2GeAs
1.0
1.7741 1.0243 8.6179
-1.7741 1.0243 8.6179
0.0000 -2.0486 8.6179
Hf Ge As
2 1 1
Direct
0.1031 0.1031 0.1031 Hf
0.8969 0.8969 0.8969 Hf
0.0000 0.0000 0.0000 Ge
0.5000 0.5000 0.5000 As
```

---

(4)
Compound: HfMn2GeAs
Source: Alexandria via LeMat-Bulk
Functional: PBE
Structure: relaxed

Energy of formation from the pure elements (eV per atom): 0.37
Magnetization (μB/atom): 1.41

Structure (POSCAR):
```
HfMn2GeAs
1.0
4.5702 0.0000 0.0000
0.0000 4.5702 0.0000
0.0000 0.0000 5.0706
Hf Mn Ge As
1 2 1 1
Direct
0.0000 0.0000 0.0000 Hf
0.0000 0.5000 0.5000 Mn
0.5000 0.0000 0.5000 Mn
0.5000 0.5000 0.0000 Ge
0.0000 0.0000 0.5000 As
```

---

(5)
Compound: HfGeAs2Pt
Source: Alexandria via LeMat-Bulk
Functional: PBE
Structure: relaxed

Energy of formation from the pure elements (eV per atom): 0.56
Magnetization (μB/atom): 0.00

Structure (POSCAR):
```
HfGeAs2Pt
1.0
4.8599 0.0000 0.0000
0.0000 4.8599 0.0000
0.0000 0.0000 4.6071
Hf Ge As Pt
1 1 2 1
Direct
0.0000 0.0000 0.0000 Hf
0.5000 0.5000 0.5000 Ge
0.0000 0.5000 0.5000 As
0.5000 0.0000 0.5000 As
0.5000 0.5000 0.0000 Pt
```

---

(6)
Compound: HfGeAs2Se
Source: Alexandria via LeMat-Bulk
Functional: PBE
Structure: relaxed

Energy above the lowest structure with this stoichiometry (meV per atom): 0
Energy relative to the elements, uncorrected (meV per atom): 189
Magnetization (μB/atom): 0.00

Structure (POSCAR):
```
HfGeAs2Se
1.0
5.1762 0.0000 0.0000
0.0000 5.1762 0.0000
0.0000 0.0000 5.0792
Hf Ge As Se
1 1 2 1
Direct
0.0000 0.0000 0.0000 Hf
0.5000 0.5000 0.5000 Ge
0.0000 0.5000 0.0000 As
0.5000 0.0000 0.0000 As
0.0000 0.0000 0.5000 Se
```

---

(7)
Compound: HfGeAs2Se
Source: Alexandria via LeMat-Bulk
Functional: PBE
Structure: relaxed

Energy above the lowest structure with this stoichiometry (meV per atom): 359
Energy relative to the elements, uncorrected (meV per atom): 548
Magnetization (μB/atom): 0.00

Structure (POSCAR):
```
HfGeAs2Se
1.0
4.8296 0.0000 0.0000
0.0000 4.8296 0.0000
0.0000 0.0000 4.8773
Hf Ge As Se
1 1 2 1
Direct
0.0000 0.0000 0.0000 Hf
0.5000 0.5000 0.5000 Ge
0.0000 0.5000 0.5000 As
0.5000 0.0000 0.5000 As
0.5000 0.5000 0.0000 Se
```

---

(8)
Compound: HfSiGeAs2
Source: Alexandria via LeMat-Bulk
Functional: PBE
Structure: relaxed

Energy relative to the elements, uncorrected (meV per atom): 646
Magnetization (μB/atom): 0.00

Structure (POSCAR):
```
HfSiGeAs2
1.0
5.1089 0.0000 0.0000
0.0000 5.1089 0.0000
0.0000 0.0000 5.1734
Hf Si Ge As
1 1 1 2
Direct
0.0000 0.0000 0.0000 Hf
0.5000 0.5000 0.5000 Si
0.0000 0.0000 0.5000 Ge
0.0000 0.5000 0.0000 As
0.5000 0.0000 0.0000 As
```

---

(9)
Compound: HfSiGe2As
Source: Alexandria via LeMat-Bulk
Functional: PBE
Structure: relaxed

Energy relative to the elements, uncorrected (meV per atom): 736
Magnetization (μB/atom): 0.00

Structure (POSCAR):
```
HfSiGe2As
1.0
5.1612 0.0000 0.0000
0.0000 5.1612 0.0000
0.0000 0.0000 5.0878
Hf Si Ge As
1 1 2 1
Direct
0.0000 0.0000 0.0000 Hf
0.5000 0.5000 0.5000 Si
0.0000 0.5000 0.0000 Ge
0.5000 0.0000 0.0000 Ge
0.0000 0.0000 0.5000 As
```

---

(10)
Compound: Hf2TiGeAs
Source: Alexandria via LeMat-Bulk
Functional: PBE
Structure: relaxed

Energy of formation from the pure elements (eV per atom): 0.23
Magnetization (μB/atom): 0.11

Structure (POSCAR):
```
Hf2TiGeAs
1.0
4.9560 0.0000 0.0000
0.0000 4.9560 0.0000
0.0000 0.0000 4.6067
Hf Ti Ge As
2 1 1 1
Direct
0.0000 0.5000 0.0000 Hf
0.5000 0.0000 0.0000 Hf
0.0000 0.0000 0.5000 Ti
0.5000 0.5000 0.5000 Ge
0.0000 0.0000 0.0000 As
```

---

(11)
Compound: YHfGe2As
Source: Alexandria via LeMat-Bulk
Functional: PBE
Structure: relaxed

Energy of formation from the pure elements (eV per atom): 1.22
Magnetization (μB/atom): 0.00

Structure (POSCAR):
```
YHfGe2As
1.0
5.2536 0.0000 0.0000
0.0000 5.2536 0.0000
0.0000 0.0000 5.4311
Y Hf Ge As
1 1 2 1
Direct
0.0000 0.0000 0.0000 Y
0.0000 0.0000 0.5000 Hf
0.0000 0.5000 0.0000 Ge
0.5000 0.0000 0.0000 Ge
0.5000 0.5000 0.5000 As
```

---

(12)
Compound: YHfGeAs2
Source: Alexandria via LeMat-Bulk
Functional: PBE
Structure: relaxed

Energy of formation from the pure elements (eV per atom): 0.32
Magnetization (μB/atom): 0.00

Structure (POSCAR):
```
YHfGeAs2
1.0
5.0526 0.0000 0.0000
0.0000 5.0526 0.0000
0.0000 0.0000 4.9580
Y Hf Ge As
1 1 1 2
Direct
0.0000 0.0000 0.0000 Y
0.5000 0.5000 0.0000 Hf
0.5000 0.5000 0.5000 Ge
0.0000 0.5000 0.5000 As
0.5000 0.0000 0.5000 As
```

---

(13)
Compound: HgGeAs3
Source: Alexandria via LeMat-Bulk
Functional: PBE
Structure: relaxed

Energy of formation from the pure elements (eV per atom): 1.13
Energy above the lowest structure with this stoichiometry (meV per atom): 382
Magnetization (μB/atom): 0.00

Structure (POSCAR):
```
HgGeAs3
1.0
5.1783 0.0000 0.0000
0.0000 5.1783 0.0000
0.0000 0.0000 5.1783
Hg Ge As
1 1 3
Direct
0.0000 0.0000 0.0000 Hg
0.5000 0.5000 0.5000 Ge
0.0000 0.0000 0.5000 As
0.0000 0.5000 0.0000 As
0.5000 0.0000 0.0000 As
```

---

(14)
Compound: HgGe2As2
Source: Alexandria via LeMat-Bulk
Functional: PBE
Structure: relaxed

Energy of formation from the pure elements (eV per atom): 0.23
Energy above the lowest structure with this stoichiometry (meV per atom): 85
Magnetization (μB/atom): 0.00

Structure (POSCAR):
```
HgGe2As2
1.0
-2.1556 2.1556 6.8614
2.1556 -2.1556 6.8614
2.1556 2.1556 -6.8614
Hg Ge As
1 2 2
Direct
0.0000 0.0000 0.0000 Hg
0.3696 0.3696 0.0000 Ge
0.6304 0.6304 0.0000 Ge
0.2500 0.7500 0.5000 As
0.7500 0.2500 0.5000 As
```

---

(15)
Compound: Hg2GeAs2
Source: Alexandria via LeMat-Bulk
Functional: PBE
Structure: relaxed

Energy of formation from the pure elements (eV per atom): 0.29
Energy above the lowest structure with this stoichiometry (meV per atom): 0
Magnetization (μB/atom): 0.00

Structure (POSCAR):
```
Hg2GeAs2
1.0
-2.0120 2.0120 8.1729
2.0120 -2.0120 8.1729
2.0120 2.0120 -8.1729
Hg Ge As
2 1 2
Direct
0.2500 0.7500 0.5000 Hg
0.7500 0.2500 0.5000 Hg
0.0000 0.0000 0.0000 Ge
0.4286 0.4286 0.0000 As
0.5714 0.5714 0.0000 As
```

---

(16)
Compound: Hg2GeAs2
Source: Alexandria via LeMat-Bulk
Functional: PBE
Structure: relaxed

Energy of formation from the pure elements (eV per atom): 0.34
Energy above the lowest structure with this stoichiometry (meV per atom): 50
Magnetization (μB/atom): 0.00

Structure (POSCAR):
```
Hg2GeAs2
1.0
7.5382 0.0000 0.0000
0.0000 7.5382 0.0000
0.0000 0.0000 4.1167
Hg Ge As
4 2 4
Direct
0.1354 0.3646 0.0000 Hg
0.3646 0.8646 0.0000 Hg
0.6354 0.1354 0.0000 Hg
0.8646 0.6354 0.0000 Hg
0.0000 0.0000 0.5000 Ge
0.5000 0.5000 0.5000 Ge
0.1912 0.6912 0.5000 As
0.3088 0.1912 0.5000 As
0.6912 0.8088 0.5000 As
0.8088 0.3088 0.5000 As
```

---

(17)
Compound: HgGe2As2
Source: Alexandria via LeMat-Bulk
Functional: PBE
Structure: relaxed

Energy of formation from the pure elements (eV per atom): 0.26
Energy above the lowest structure with this stoichiometry (meV per atom): 110
Magnetization (μB/atom): 0.00

Structure (POSCAR):
```
HgGe2As2
1.0
8.0446 0.0000 0.0000
0.0000 8.0446 0.0000
0.0000 0.0000 3.4989
Hg Ge As
2 4 4
Direct
0.0000 0.0000 0.0000 Hg
0.5000 0.5000 0.0000 Hg
0.1393 0.3607 0.0000 Ge
0.3607 0.8607 0.0000 Ge
0.6393 0.1393 0.0000 Ge
0.8607 0.6393 0.0000 Ge
0.1261 0.6261 0.5000 As
0.3739 0.1261 0.5000 As
0.6261 0.8739 0.5000 As
0.8739 0.3739 0.5000 As
```

---

(18)
Compound: Hg12Ge5As3
Source: Alexandria via LeMat-Bulk
Functional: PBE
Structure: relaxed

Energy of formation from the pure elements (eV per atom): 0.25
Magnetization (μB/atom): 0.00

Structure (POSCAR):
```
Hg12Ge5As3
1.0
-8.1311 8.1311 8.1311
8.1311 -8.1311 8.1311
8.1311 8.1311 -8.1311
Hg Ge As
48 20 12
Direct
0.0537 0.2286 0.1241 Hg
0.0537 0.3251 0.9296 Hg
0.0704 0.6241 0.3954 Hg
0.0704 0.9463 0.6749 Hg
0.1046 0.7286 0.6749 Hg
0.1046 0.8759 0.4296 Hg
0.1241 0.0537 0.2286 Hg
0.1241 0.5704 0.8954 Hg
0.1749 0.2286 0.6046 Hg
0.1749 0.4463 0.5704 Hg
0.2286 0.1241 0.0537 Hg
0.2286 0.6046 0.1749 Hg
0.2714 0.3251 0.8954 Hg
0.2714 0.4463 0.3759 Hg
0.3251 0.8954 0.2714 Hg
0.3251 0.9296 0.0537 Hg
0.3759 0.2714 0.4463 Hg
0.3759 0.6046 0.9296 Hg
0.3954 0.0704 0.6241 Hg
0.3954 0.8251 0.7714 Hg
0.4296 0.1046 0.8759 Hg
0.4296 0.8251 0.5537 Hg
0.4463 0.3759 0.2714 Hg
0.4463 0.5704 0.1749 Hg
0.5537 0.4296 0.8251 Hg
0.5537 0.6241 0.7286 Hg
0.5704 0.1749 0.4463 Hg
0.5704 0.8954 0.1241 Hg
0.6046 0.1749 0.2286 Hg
0.6046 0.9296 0.3759 Hg
0.6241 0.3954 0.0704 Hg
0.6241 0.7286 0.5537 Hg
0.6749 0.0704 0.9463 Hg
0.6749 0.1046 0.7286 Hg
0.7286 0.5537 0.6241 Hg
0.7286 0.6749 0.1046 Hg
0.7714 0.3954 0.8251 Hg
0.7714 0.8759 0.9463 Hg
0.8251 0.5537 0.4296 Hg
0.8251 0.7714 0.3954 Hg
0.8759 0.4296 0.1046 Hg
0.8759 0.9463 0.7714 Hg
0.8954 0.1241 0.5704 Hg
0.8954 0.2714 0.3251 Hg
0.9296 0.0537 0.3251 Hg
0.9296 0.3759 0.6046 Hg
0.9463 0.6749 0.0704 Hg
0.9463 0.7714 0.8759 Hg
0.0000 0.0000 0.0000 Ge
0.0000 0.0000 0.5000 Ge
0.0000 0.5000 0.0000 Ge
0.0000 0.5000 0.5000 Ge
0.1250 0.7500 0.8750 Ge
0.1250 0.8750 0.2500 Ge
0.2500 0.1250 0.8750 Ge
0.2500 0.6250 0.3750 Ge
0.3750 0.2500 0.6250 Ge
0.3750 0.6250 0.7500 Ge
0.5000 0.0000 0.0000 Ge
0.5000 0.0000 0.5000 Ge
0.5000 0.5000 0.0000 Ge
0.5000 0.5000 0.5000 Ge
0.6250 0.3750 0.2500 Ge
0.6250 0.7500 0.3750 Ge
0.7500 0.3750 0.6250 Ge
0.7500 0.8750 0.1250 Ge
0.8750 0.1250 0.7500 Ge
0.8750 0.2500 0.1250 Ge
0.1250 0.2500 0.3750 As
0.1250 0.3750 0.7500 As
0.2500 0.3750 0.1250 As
0.2500 0.8750 0.6250 As
0.3750 0.1250 0.2500 As
0.3750 0.7500 0.1250 As
0.6250 0.2500 0.8750 As
0.6250 0.8750 0.7500 As
0.7500 0.1250 0.3750 As
0.7500 0.6250 0.8750 As
0.8750 0.6250 0.2500 As
0.8750 0.7500 0.6250 As
```

---

(19)
Compound: HgGe2As2
Source: Alexandria via LeMat-Bulk
Functional: PBE
Structure: relaxed

Energy of formation from the pure elements (eV per atom): 0.15
Energy above the lowest structure with this stoichiometry (meV per atom): 0
Magnetization (μB/atom): 0.00

Structure (POSCAR):
```
HgGe2As2
1.0
-2.2370 2.2370 6.6762
2.2370 -2.2370 6.6762
2.2370 2.2370 -6.6762
Hg Ge As
1 2 2
Direct
0.0000 0.0000 0.0000 Hg
0.2500 0.7500 0.5000 Ge
0.7500 0.2500 0.5000 Ge
0.3538 0.3538 0.0000 As
0.6462 0.6462 0.0000 As
```

---

(20)
Compound: HgGeAs3
Source: Alexandria via LeMat-Bulk
Functional: PBE
Structure: relaxed

Energy of formation from the pure elements (eV per atom): 0.75
Energy above the lowest structure with this stoichiometry (meV per atom): 0
Magnetization (μB/atom): 0.00

Structure (POSCAR):
```
HgGeAs3
1.0
5.0075 0.0000 0.0000
0.0000 5.0075 0.0000
0.0000 0.0000 5.0075
Hg Ge As
1 1 3
Direct
0.0000 0.0000 0.0000 Hg
0.5000 0.5000 0.5000 Ge
0.0000 0.5000 0.5000 As
0.5000 0.0000 0.5000 As
0.5000 0.5000 0.0000 As
```